An optimized crystal structure of Li2DyPCO7. Source: the Alexandria database, functional PBE. Values from VASP.

Cell and atoms, written as Quantum ESPRESSO input:
```
&SYSTEM
  ibrav = 0, nat = 24, ntyp = 5
/
ATOMIC_SPECIES
Li 6.94 Li.upf
Dy 162.50 Dy.upf
P 30.97 P.upf
C 12.01 C.upf
O 16.00 O.upf
CELL_PARAMETERS angstrom
4.7697 0.0000 0.0000
0.0000 6.6564 0.0000
-1.2994 0.0000 9.5508
ATOMIC_POSITIONS angstrom
Li 0.5491 0.0110 3.1927
Li 0.5491 3.3172 3.1927
Li 2.9213 3.3393 6.3581
Li 2.9213 6.6454 6.3581
Dy 0.1226 4.9923 8.3428
Dy 3.3478 1.6641 1.2081
P 0.0157 1.6641 8.5061
P 3.4547 4.9923 1.0447
C 0.5633 4.9923 5.5131
C 2.9071 1.6641 4.0377
O -0.6694 4.9923 5.9267
O -0.4936 0.4022 7.7756
O -0.4936 2.9260 7.7756
O 0.8881 1.6641 0.4659
O 0.8780 4.9923 4.2741
O 1.9009 4.9923 0.9875
O 1.4905 4.9923 6.4571
O 1.9798 1.6641 3.0937
O 1.5694 1.6641 8.5633
O 2.5923 1.6641 5.2768
O 2.5822 4.9923 9.0849
O 3.9640 3.7305 1.7752
O 3.9640 6.2542 1.7752
O 4.1398 1.6641 3.6241
```

- DFT total energy: -7.1956 eV/atom
- Formation energy from raw total energies: -2757 kJ/mol of formula units
- D(E_F): 0.00 states/eV/cell

***

An optimized crystal structure of DyLu2C. Source: the Alexandria database, functional PBE. Values from VASP.

Cell and atoms, written as Quantum ESPRESSO input:
```
&SYSTEM
  ibrav = 0, nat = 12, ntyp = 3
/
ATOMIC_SPECIES
Dy 162.50 Dy.upf
Lu 174.97 Lu.upf
C 12.01 C.upf
CELL_PARAMETERS angstrom
3.4611 0.0000 0.0000
-1.7305 2.9974 0.0000
0.0000 0.0000 28.3659
ATOMIC_POSITIONS angstrom
Dy 0.0000 0.0000 0.0000
Dy 0.0000 1.9983 18.9106
Dy 1.7305 0.9991 9.4553
Lu 0.0000 0.0000 3.4245
Lu 0.0000 0.0000 24.9414
Lu 0.0000 1.9983 15.4861
Lu 0.0000 1.9983 22.3351
Lu 1.7305 0.9991 6.0308
Lu 1.7305 0.9991 12.8798
C 0.0000 0.0000 14.1830
C 0.0000 1.9983 4.7277
C 1.7305 0.9991 23.6383
```

- DFT total energy: -5.8461 eV/atom
- DFT formation energy: -129 meV/atom
- D(E_F): 12.89 states/eV/cell

***

An optimized crystal structure of Dy2LuC. Source: the Alexandria database, functional PBE. Values from VASP.

Cell and atoms, written as Quantum ESPRESSO input:
```
&SYSTEM
  ibrav = 0, nat = 12, ntyp = 3
/
ATOMIC_SPECIES
Dy 162.50 Dy.upf
Lu 174.97 Lu.upf
C 12.01 C.upf
CELL_PARAMETERS angstrom
3.5260 0.0000 0.0000
-1.7630 3.0536 0.0000
0.0000 0.0000 28.4644
ATOMIC_POSITIONS angstrom
Dy 0.0000 0.0000 3.3983
Dy 0.0000 0.0000 25.0662
Dy 0.0000 2.0357 15.5780
Dy 0.0000 2.0357 22.3746
Dy 1.7630 1.0179 6.0899
Dy 1.7630 1.0179 12.8864
Lu 0.0000 0.0000 0.0000
Lu 0.0000 2.0357 18.9763
Lu 1.7630 1.0179 9.4881
C 0.0000 0.0000 14.2322
C 0.0000 2.0357 4.7441
C 1.7630 1.0179 23.7204
```

- DFT total energy: -5.7913 eV/atom
- DFT formation energy: -54 meV/atom
- D(E_F): 13.63 states/eV/cell

***

An optimized crystal structure of DyLuC2. Source: the Alexandria database, functional PBE. Values from VASP.

Cell and atoms, written as Quantum ESPRESSO input:
```
&SYSTEM
  ibrav = 0, nat = 12, ntyp = 3
/
ATOMIC_SPECIES
Dy 162.50 Dy.upf
Lu 174.97 Lu.upf
C 12.01 C.upf
CELL_PARAMETERS angstrom
3.8038 0.0000 0.0000
-1.9019 3.2942 0.0000
0.0000 0.0000 19.4724
ATOMIC_POSITIONS angstrom
Dy 0.0000 0.0000 0.0000
Dy 0.0000 2.1961 12.9816
Dy 1.9019 1.0981 6.4908
Lu 0.0000 0.0000 9.7362
Lu 0.0000 2.1961 3.2454
Lu 1.9019 1.0981 16.2270
C 0.0000 0.0000 7.5915
C 0.0000 0.0000 11.8809
C 0.0000 2.1961 1.1007
C 0.0000 2.1961 5.3901
C 1.9019 1.0981 14.0823
C 1.9019 1.0981 18.3717
```

- DFT total energy: -6.0094 eV/atom
- DFT formation energy: 883 meV/atom
- D(E_F): 10.37 states/eV/cell